Entry 1:
Tl3Ag4Cl9 after structural relaxation. Source: the Alexandria database, functional PBE-GGA.

Cell: 7.2025 7.2025 29.3227 Å, 90.00 90.00 120.00°
Space group R3 (No. 146, hexagonal axes)
Unique sites:
Tl 0.0000 0.0000 0.0000 [3 per cell]
Tl 0.0000 0.0000 0.1642 [3 per cell]
Tl 0.0000 0.0000 0.5954 [3 per cell]
Ag 0.0000 0.0000 0.3016 [3 per cell]
Ag 0.0000 0.0000 0.4185 [3 per cell]
Ag 0.0000 0.0000 0.7465 [3 per cell]
Ag 0.0000 0.0000 0.8613 [3 per cell]
Cl 0.0000 0.5431 0.1412 [9 per cell]
Cl 0.0019 0.4638 0.5822 [9 per cell]
Cl 0.1316 0.7954 0.3546 [9 per cell]

Output
For the volume, the calculation gives 439 Å³/f.u. The uncorrected formation energy is -623.3 meV/atom. Its theoretical density is 5.2 g cm⁻³.

---

Entry 2:
YLu2Ni after structural relaxation. Source: the Alexandria database, functional PBE-GGA.

Cell: 3.369 3.369 8.624 Å, 90.00 90.00 90.00°
Space group P4/mmm (No. 123)
Unique sites:
Y 0.000 0.000 0.000 [1 per cell]
Lu 0.500 0.500 0.316 [2 per cell]
Ni 0.000 0.000 0.500 [1 per cell]

Output
The calculation puts the energy of formation at -0.213 eV per atom. For the volume, the calculation gives 98 Å³/f.u. Its theoretical density is 8.4 g cm⁻³.

---

Entry 3:
Tb3In2Pd after structural relaxation. Source: the Alexandria database, functional PBE-GGA.

Cell: 3.556 3.556 11.940 Å, 90.00 90.00 90.00°
Space group P4/mmm (No. 123)
Unique sites:
Tb 0.000 0.000 0.000 [1 per cell]
Tb 0.000 0.000 0.355 [2 per cell]
In 0.500 0.500 0.177 [2 per cell]
Pd 0.500 0.500 0.500 [1 per cell]

Output
The calculation puts the energy of formation at -0.607 eV per atom. For the volume, the calculation gives 151 Å³/f.u. Its theoretical density is 8.9 g cm⁻³.

---

Entry 4:
Pu2MgGaAu6 after structural relaxation. Source: the Alexandria database, functional PBE-GGA.

Cell: 9.854 5.726 9.333 Å, 90.00 110.22 90.00°
Space group C2/m (No. 12)
Unique sites:
Pu 0.193 0.000 0.081 [4 per cell]
Mg 0.000 0.000 0.500 [2 per cell]
Ga 0.000 0.500 0.000 [2 per cell]
Au 0.004 0.249 0.755 [8 per cell]
Au 0.248 0.500 0.246 [4 per cell]

Output
The calculation puts the energy of formation at -0.226 eV per atom. For the volume, the calculation gives 247 Å³/f.u. Its theoretical density is 11.9 g cm⁻³.

---

Entry 5:
TbNpPt2 after structural relaxation. Source: the Alexandria database, functional PBE-GGA.

Cell: 5.017 5.017 3.408 Å, 90.00 90.00 90.00°
Space group P4/mmm (No. 123)
Unique sites:
Tb 0.000 0.000 0.000 [1 per cell]
Np 0.500 0.500 0.000 [1 per cell]
Pt 0.000 0.500 0.500 [2 per cell]

Output
Its energy above the most stable polymorph in this dataset is 0 meV per atom. The calculation puts the energy of formation at -0.788 eV per atom. For the volume, the calculation gives 86 Å³/f.u. Its theoretical density is 15.2 g cm⁻³.

---

Entry 6:
HfCdSCl2 after structural relaxation. Source: the Alexandria database, functional PBE-GGA.

Cell: 4.941 4.941 5.244 Å, 90.00 90.00 90.00°
Space group P4/mmm (No. 123)
Unique sites:
Hf 0.000 0.000 0.000 [1 per cell]
Cd 0.500 0.500 0.500 [1 per cell]
S 0.500 0.500 0.000 [1 per cell]
Cl 0.000 0.500 0.500 [2 per cell]

Output
Its energy above the most stable polymorph in this dataset is 1116 meV per atom. For the volume, the calculation gives 128 Å³/f.u. The uncorrected formation energy is 158.0 meV/atom. Its theoretical density is 5.1 g cm⁻³.

---

Entry 7:
VMoIr2 after structural relaxation. Source: the Alexandria database, functional PBE-GGA.

Cell: 3.835 3.835 17.448 Å, 90.00 90.00 90.00°
Space group I-42d (No. 122)
Unique sites:
V 0.000 0.000 0.000 [4 per cell]
Mo 0.000 0.000 0.500 [4 per cell]
Ir 0.240 0.250 0.125 [8 per cell]

Output
Its energy above the most stable polymorph in this dataset is 718 meV per atom. The calculation puts the energy of formation at 0.332 eV per atom. For the volume, the calculation gives 64 Å³/f.u. Its theoretical density is 13.8 g cm⁻³.

---

Entry 8:
In2NiRh2 after structural relaxation. Source: the Alexandria database, functional PBE-GGA.

Cell: 6.587 6.587 3.969 Å, 90.00 90.00 90.00°
Space group P4/mbm (No. 127)
Unique sites:
In 0.169 0.331 0.000 [4 per cell]
Ni 0.000 0.000 0.500 [2 per cell]
Rh 0.139 0.639 0.500 [4 per cell]

Output
The calculation puts the energy of formation at -0.140 eV per atom. For the volume, the calculation gives 86 Å³/f.u. Its theoretical density is 9.5 g cm⁻³.

---

Entry 9:
LaHo6Tm5 after structural relaxation. Source: the Alexandria database, functional PBE-GGA.

Cell: 4.981 14.980 10.000 Å, 90.00 90.00 90.00°
Space group Cmmm (No. 65)
Unique sites:
La 0.000 0.000 0.000 [2 per cell]
Ho 0.000 0.167 0.253 [8 per cell]
Ho 0.000 0.500 0.254 [4 per cell]
Tm 0.000 0.000 0.500 [2 per cell]
Tm 0.000 0.331 0.000 [4 per cell]
Tm 0.000 0.333 0.500 [4 per cell]

Output
The calculation puts the energy of formation at 0.029 eV per atom. For the volume, the calculation gives 373 Å³/f.u. Its theoretical density is 8.8 g cm⁻³.

---

Entry 10:
ThZn2Pd after structural relaxation. Source: the Alexandria database, functional PBE-GGA.

Cell: 8.444 7.041 5.318 Å, 90.00 90.00 90.00°
Space group Pnma (No. 62)
Unique sites:
Th 0.048 0.250 0.134 [4 per cell]
Zn 0.189 0.057 0.618 [8 per cell]
Pd 0.089 0.750 0.364 [4 per cell]

Output
The calculation puts the energy of formation at -0.502 eV per atom. For the volume, the calculation gives 79 Å³/f.u. Its theoretical density is 9.9 g cm⁻³.

---

Entry 11:
Ba3Tl2RuO8 after structural relaxation. Source: the Alexandria database, functional PBE-GGA.

Cell: 5.9876 5.9876 8.0354 Å, 90.00 90.00 120.00°
Space group P-3m1 (No. 164)
Unique sites:
Ba 0.0000 0.0000 0.0000 [1 per cell]
Ba 0.3333 0.6667 0.6226 [2 per cell]
Tl 0.3333 0.6667 0.1898 [2 per cell]
Ru 0.0000 0.0000 0.5000 [1 per cell]
O 0.1547 0.3094 0.3508 [6 per cell]
O 0.3333 0.6667 0.9312 [2 per cell]

Output
For the volume, the calculation gives 249 Å³/f.u. The uncorrected formation energy is -1475.8 meV/atom. Its theoretical density is 7.0 g cm⁻³.